No. 1
## Rb2InCuCl6 (PBE)

Data for a relaxed structure of Rb2InCuCl6.

Values from the calculation:
**Energy relative to the elements, uncorrected**: -29.647 kcal/mol of atoms
**Space-group type**: No. 139
**V**: 279.0 Å³ per cell
**N(E_F)**: 0.0000 states/eV/atom
**DFT total energy**: -3.27 eV per atom

Unit cell a=7.166 b=7.166 c=7.166 alpha=113.74 beta=113.74 gamma=101.24
Atoms (fractional coordinates):
Rb: 0.250 0.750 0.500
Rb: 0.750 0.250 0.500
In: 0.000 0.000 0.000
Cu: 0.500 0.500 0.000
Cl: 0.230 0.230 0.459
Cl: 0.230 0.770 0.000
Cl: 0.271 0.271 0.000
Cl: 0.729 0.729 0.000
Cl: 0.770 0.230 0.000
Cl: 0.770 0.770 0.541

No. 2
## RbInCuCl6 (PBE)

Data for a relaxed structure of RbInCuCl6.

Values from the calculation:
**Energy relative to the elements, uncorrected**: -25.429 kcal/mol of atoms
**Space-group type**: No. 1
**V**: 276.9 Å³ per cell
**DFT total energy**: -3.20 eV per atom

Unit cell a=6.442 b=6.445 c=7.335 alpha=93.27 beta=93.35 gamma=113.89
Atoms (fractional coordinates):
Rb: 0.000 0.000 0.000
In: 0.650 0.350 0.500
Cu: 0.305 0.697 0.500
Cl: 0.341 0.028 0.665
Cl: 0.345 0.428 0.301
Cl: 0.572 0.655 0.699
Cl: 0.608 0.044 0.266
Cl: 0.956 0.391 0.734
Cl: 0.972 0.659 0.335